# FeSb2TeO

Crystalline FeSb2TeO at its relaxed geometry (PBE+U, Alexandria).

Properties
ΔE to the lowest computed polymorph (meV/atom): 0
Size of the total moment (μB/atom): 0.73
Energy (eV/atom): -3.9678
Calculated density (Mg/m³): 6.75
Space-group type: P4/mmm

Cell lengths 4.715, 4.715, 4.902 Å; angles 90.00, 90.00, 90.00 degrees
Fractional positions:
Fe1 0.000 0.000 0.000
Sb1 0.000 0.500 0.500
Sb2 0.500 0.000 0.500
Te1 0.500 0.500 0.000
O1 0.500 0.500 0.500

# FeSbTe2O

Crystalline FeSbTe2O at its relaxed geometry (PBE+U, Alexandria).

Properties
ΔE to the lowest computed polymorph (meV/atom): 503
Size of the total moment (μB/atom): 0.76
Energy (eV/atom): -3.1884
Calculated density (Mg/m³): 5.68
Space-group type: P4/mmm

Cell lengths 5.064, 5.064, 5.115 Å; angles 90.00, 90.00, 90.00 degrees
Fractional positions:
Fe1 0.000 0.000 0.000
Sb1 0.000 0.000 0.500
Te1 0.000 0.500 0.000
Te2 0.500 0.000 0.000
O1 0.500 0.500 0.500

# FeSbTe2O

Crystalline FeSbTe2O at its relaxed geometry (PBE+U, Alexandria).

Properties
ΔE to the lowest computed polymorph (meV/atom): 0
Size of the total moment (μB/atom): 0.74
Energy (eV/atom): -3.6917
Calculated density (Mg/m³): 6.73
Space-group type: P4/mmm

Cell lengths 4.840, 4.840, 4.728 Å; angles 90.00, 90.00, 90.00 degrees
Fractional positions:
Fe1 0.000 0.000 0.000
Sb1 0.500 0.500 0.000
Te1 0.000 0.500 0.500
Te2 0.500 0.000 0.500
O1 0.500 0.500 0.500

# ThFeSbO6

Crystalline ThFeSbO6 at its relaxed geometry (PBE+U, Alexandria).

Properties
Size of the total moment (μB/atom): 0.33
Energy (eV/atom): -7.2444
Calculated density (Mg/m³): 6.92
Space-group type: P4_2nm

Cell lengths 5.005, 5.005, 9.693 Å; angles 90.00, 90.00, 90.00 degrees
Fractional positions:
Th1 0.000 0.000 0.000
Th2 0.500 0.500 0.500
Fe1 0.000 0.000 0.334
Fe2 0.500 0.500 0.834
Sb1 0.000 0.000 0.665
Sb2 0.500 0.500 0.165
O1 0.171 0.171 0.494
O2 0.200 0.200 0.810
O3 0.211 0.211 0.175
O4 0.289 0.711 0.675
O5 0.300 0.700 0.310
O6 0.329 0.671 0.994
O7 0.671 0.329 0.994
O8 0.700 0.300 0.310
O9 0.711 0.289 0.675
O10 0.789 0.789 0.175
O11 0.800 0.800 0.810
O12 0.829 0.829 0.494

> calculated density of number 4 (ThFeSbO6)?

6.92 Mg/m³